A plane-wave DFT calculation with PBE+U was carried out for a geometry-optimized ScTl2VF structure.

Summary:
The value obtained for the density of states at the Fermi level is 4.0 states/eV/cell. Its energy is -3.75 eV/atom.

Cell lengths 5.372, 5.050, 5.372 Å; angles 90.00, 90.00, 90.00 degrees
Site moments in Bohr magnetons follow the coordinates.
Element x y z (fractional)
Tl1 0.000 0.000 0.500  0.08
Tl2 0.500 0.000 0.000  0.06
V1 0.000 0.000 0.000  2.85
F1 0.500 0.500 0.500  0.05
Sc1 0.000 0.500 0.000  0.03